5
Lattice="5.270 0.000 0.000 0.000 5.270 0.000 0.000 0.000 6.317" Properties=species:S:1:pos:R:3 comment="RbB2TePb (PBE, optimized geometry)" volume_a3_per_atom=35.092 total_energy_ev_per_atom=-2.89 e_form_raw_ev_per_fu=6.7 space_group=P4/mmm pbc="T T T"
Rb 0.000 0.000 0.000
B 0.000 2.635 3.159
B 2.635 0.000 3.159
Te 2.635 2.635 0.000
Pb 2.635 2.635 3.159

8
Lattice="-2.648 2.648 5.103 2.648 -2.648 5.103 2.648 2.648 -5.103" Properties=species:S:1:pos:R:3 comment="ReB2Pb (PBE, optimized geometry)" volume_a3_per_atom=17.885 total_energy_ev_per_atom=-6.52 space_group=I-42d delta_e_f_ev_per_atom=0.862 pbc="T T T"
Re 0.000 0.000 0.000
Re 0.000 2.648 2.551
B 3.972 0.879 -1.276
B 0.879 1.324 1.276
B -1.324 1.769 3.827
B 1.769 1.324 6.378
Pb 2.648 0.000 2.551
Pb 0.000 0.000 5.103

5
Lattice="5.331 0.000 0.000 0.000 5.331 0.000 0.000 0.000 5.331" Properties=species:S:1:pos:R:3 comment="ReBPb3 (PBE, optimized geometry)" volume_a3_per_atom=30.302 total_energy_ev_per_atom=-4.61 space_group=Pm-3m delta_e_f_ev_per_atom=1.443 pbc="T T T"
Re 0.000 0.000 0.000
B 2.666 2.666 2.666
Pb 0.000 0.000 2.666
Pb 0.000 2.666 0.000
Pb 2.666 0.000 0.000